(1)
The following is a DFT calculation (PBE) of a geometry-optimized YGaNi2 structure.

The space group is I-42d (No. 122) and the conventional cell measures 4.390, 4.390 and 16.162 Å, with angles of 90.00, 90.00 and 90.00 degrees. The distinct sites, in fractional coordinates, are Y at (0.000, 0.000, 0.000), Ga at (0.000, 0.000, 0.500) and Ni at (0.073, 0.250, 0.625).

As for the final energy: -86.59 eV/cell. As for the formation energy: -0.60 eV/f.u.


(2)
The following is a DFT calculation (PBE) of a geometry-optimized CoReNi3 structure.

The space group is R-3m (No. 166, hexagonal axes) and the conventional cell measures 4.9419, 4.9419 and 11.0535 Å, with angles of 90.00, 90.00 and 120.00 degrees. The distinct sites, in fractional coordinates, are Co at (0.0000, 0.0000, 0.0000), Re at (0.0000, 0.0000, 0.5000) and Ni at (0.0000, 0.5000, 0.5000).

As for the final energy: -95.00 eV/cell. As for the distance to the lowest polymorph of the same formula: 916.4 meV per atom. As for the formation energy: 5.23 eV/f.u.


For reference, M_tot by record: 0.00, 17.79 μB/cell.